## Eu3CoBi (GGA-PBE)

Data for Eu3CoBi after structural relaxation.

Geometry as extended XYZ:
```
5
Lattice="5.342 0.000 0.000 0.000 5.342 0.000 0.000 0.000 5.342" Properties=species:S:1:pos:R:3 pbc="T T T"
Co 0.000 0.000 0.000
Eu 2.671 0.000 0.000
Eu 0.000 0.000 2.671
Eu 0.000 2.671 0.000
Bi 2.671 2.671 2.671
```

Computed properties:
Final energy = -43.3 eV per cell
V = 30.48 Å³/atom